No. 1
{
  "formula": "TiTlW2",
  "functional": "PBE-GGA",
  "state": "relaxed",
  "lattice_angstrom": [[0.0000, 3.2750, 3.2750], [3.2750, 0.0000, 3.2750], [3.2750, 3.2750, 0.0000]],
  "species": ["W", "W", "Ti", "Tl"],
  "fractional_positions": [[0.2500, 0.2500, 0.2500], [0.7500, 0.7500, 0.7500], [0.0000, 0.0000, 0.0000], [0.5000, 0.5000, 0.5000]],
  "de_polymorph_mev_per_atom": 0,
  "density_g_cm3": 14.653,
  "space_group": "No. 225",
  "ef_ev_per_atom": 0.8413,
  "total_magnetization_mub_per_fu": 0.0
}

***

No. 2
{
  "formula": "Tb3Dy4ThS8",
  "functional": "PBE-GGA",
  "state": "relaxed",
  "lattice_angstrom": [[7.8617, 0.0000, 0.0000], [0.0000, 7.8691, -0.0003], [-3.9308, -3.9271, 5.5625]],
  "species": ["S", "S", "S", "Tb", "S", "Dy", "Th", "S", "S", "Tb", "Dy", "Dy", "S", "S", "Tb", "Dy"],
  "fractional_positions": [[0.7471, 0.7559, 0.0015], [0.2544, 0.7559, 0.0015], [0.7507, 0.7523, 0.5015], [0.0000, 0.5000, 0.5000], [0.2493, 0.2477, 0.4985], [0.5000, 0.0000, 0.0000], [0.0000, 0.5000, 0.0000], [0.2544, 0.7559, 0.5087], [0.7456, 0.2441, 0.9985], [0.5000, 0.5000, 0.5000], [0.0000, 0.0000, 0.0000], [0.0000, 0.0000, 0.5000], [0.7456, 0.2441, 0.4913], [0.2529, 0.2441, 0.9985], [0.5000, 0.5000, 0.0000], [0.5000, 0.0000, 0.5000]],
  "density_g_cm3": 7.795,
  "space_group": "No. 166",
  "total_magnetization_mub_per_fu": 0.0
}

***

No. 3
{
  "formula": "MgMo4Rh",
  "functional": "PBE-GGA",
  "state": "relaxed",
  "lattice_angstrom": [[1.6967, 1.7169, 4.6309], [-2.3442, 4.0617, 2.2976], [-2.8994, -0.7375, 4.2803]],
  "species": ["Mo", "Mo", "Mg", "Mo", "Rh", "Mo"],
  "fractional_positions": [[0.3738, 0.3738, 0.3738], [0.3738, 0.8787, 0.3738], [0.0000, 0.0000, 0.0000], [0.3738, 0.3738, 0.8787], [0.7500, 0.7500, 0.7500], [0.8787, 0.3738, 0.3738]],
  "density_g_cm3": 8.425,
  "space_group": "No. 216",
  "ef_ev_per_atom": 0.2715,
  "total_magnetization_mub_per_fu": 0.0
}

***

No. 4
{
  "formula": "K3Ce3NdTe8",
  "functional": "PBE-GGA",
  "state": "relaxed",
  "lattice_angstrom": [[9.1727, 0.0000, 0.0003], [-4.5863, 7.9432, -0.0309], [0.0003, -5.2654, 8.3273]],
  "species": ["Te", "Te", "Ce", "Te", "Ce", "Te", "Te", "Te", "Ce", "Te", "K", "Nd", "K", "Te", "K"],
  "fractional_positions": [[0.2677, 0.0288, 0.2898], [0.7375, 0.4751, 0.7125], [0.5000, 0.0000, 0.5000], [0.7323, 0.9712, 0.7102], [0.5000, 0.5000, 0.5000], [0.2625, 0.5249, 0.2875], [0.7610, 0.5220, 0.2898], [0.2390, 0.4780, 0.7102], [0.0000, 0.5000, 0.5000], [0.2390, 0.9713, 0.7102], [0.0000, 0.0000, 0.0000], [0.0000, 0.0000, 0.5000], [0.5000, 0.5000, 0.0000], [0.7610, 0.0287, 0.2898], [0.0000, 0.5000, 0.0000]],
  "density_g_cm3": 4.671,
  "space_group": "No. 166",
  "total_magnetization_mub_per_fu": 2.0
}

***

No. 5
{
  "formula": "LiB2C2",
  "functional": "PBE-GGA",
  "state": "relaxed",
  "lattice_angstrom": [[-1.4853, -1.4579, -1.7605], [2.6221, -0.6209, 0.4125], [-6.6932, -15.8130, 18.7418]],
  "species": ["C", "B", "Li", "B", "B", "C", "C", "Li", "B", "B", "B", "C", "C", "Li", "C", "B", "C", "C", "Li", "B"],
  "fractional_positions": [[0.3333, 0.6667, 0.3125], [0.3333, 0.6667, 0.6726], [0.0000, 0.0000, 0.1368], [0.6667, 0.3333, 0.5582], [0.6667, 0.3333, 0.8125], [0.3333, 0.6667, 0.0691], [0.6667, 0.3333, 0.9499], [0.0000, 0.0000, 0.7423], [0.3333, 0.6667, 0.2071], [0.6667, 0.3333, 0.0668], [0.3333, 0.6667, 0.9524], [0.6667, 0.3333, 0.2047], [0.3333, 0.6667, 0.5559], [0.0000, 0.0000, 0.8827], [0.3333, 0.6667, 0.8125], [0.3333, 0.6667, 0.4179], [0.6667, 0.3333, 0.4203], [0.6667, 0.3333, 0.6751], [0.0000, 0.0000, 0.4882], [0.6667, 0.3333, 0.3125]],
  "de_polymorph_mev_per_atom": 75,
  "density_g_cm3": 2.135,
  "space_group": "No. 187",
  "ef_ev_per_atom": 0.0052,
  "total_magnetization_mub_per_fu": 0.0
}

***

No. 6
{
  "formula": "LiPrMgGe2",
  "functional": "PBE-GGA",
  "state": "relaxed",
  "lattice_angstrom": [[4.2786, 0.0000, 0.0000], [0.0000, 4.2786, 0.0000], [-2.1393, -2.1393, 5.7935]],
  "species": ["Mg", "Ge", "Ge", "Pr", "Li"],
  "fractional_positions": [[0.2500, 0.7500, 0.5000], [0.6084, 0.6084, 0.2168], [0.3916, 0.3916, 0.7832], [0.0000, 0.0000, 0.0000], [0.7500, 0.2500, 0.5000]],
  "density_g_cm3": 4.970,
  "space_group": "No. 119",
  "ef_ev_per_atom": -0.5502,
  "total_magnetization_mub_per_fu": 0.0
}

***

No. 7
{
  "formula": "TaTl3Ru",
  "functional": "PBE-GGA",
  "state": "relaxed",
  "lattice_angstrom": [[5.4085, 0.0000, 0.0000], [0.0000, 5.4085, 0.0000], [0.0000, 0.0000, 5.4085]],
  "species": ["Tl", "Ru", "Tl", "Ta", "Tl"],
  "fractional_positions": [[0.0000, 0.0000, 0.5000], [0.5000, 0.5000, 0.5000], [0.0000, 0.5000, 0.0000], [0.0000, 0.0000, 0.0000], [0.5000, 0.0000, 0.0000]],
  "de_polymorph_mev_per_atom": 193,
  "density_g_cm3": 9.396,
  "space_group": "No. 221",
  "ef_ev_per_atom": 1.5818,
  "total_magnetization_mub_per_fu": 2.1
}

***

The following electronic total energy values (in eV/f.u.) correspond, in order, to the records above: -32.80 -104.23 -50.64 -71.10 -33.69 -20.27 -20.32.